VASP calculation (PBE) on a geometry-optimized Hf2Ru2Rh structure.

a b c (Å): 7.0092 7.0092 3.5212
angles (deg): 90.00 90.00 90.00
Fractional coordinates of all 10 atoms:
Hf  0.1794  0.3206  0.0000
Hf  0.3206  0.8206  0.0000
Hf  0.6794  0.1794  0.0000
Hf  0.8206  0.6794  0.0000
Ru  0.1274  0.6274  0.5000
Ru  0.3726  0.1274  0.5000
Ru  0.6274  0.8726  0.5000
Ru  0.8726  0.3726  0.5000
Rh  0.0000  0.0000  0.5000
Rh  0.5000  0.5000  0.5000

Summary:
The volume is 17.299 Å³ per atom. The final energy comes out at -9.55 eV/atom. For the density of states at the Fermi level, the calculation gives 1.531 states/eV per atom. The value obtained for the energy relative to the elements is -187 kJ/mol of formula units.